First-principles (GGA+U) data for a relaxed NiSbN2F crystal, as listed in Alexandria.

## Properties
M_tot = 1.96 μB per cell
relative energy among the computed polymorphs = 209 meV/atom
total energy = -21.54 eV for the cell shown
Fermi-level density of states = 1.8 states/eV per cell

a = 4.046 Å, b = 4.046 Å, c = 4.055 Å
α = 90.00°, β = 90.00°, γ = 90.00°
Space group P4/mmm (No. 123)
Asymmetric unit:
Ni  0.000  0.000  0.000
Sb  0.500  0.500  0.500
N  0.000  0.500  0.500
F  0.500  0.500  0.000